[1]
# HgGePS2

A relaxed structure of HgGePS2 (PBE, the Alexandria database).

Lattice parameters (Å, degrees): 4.714 4.714 4.919 90.00 90.00 90.00
Space group P4/mmm (No. 123)
Unique sites:
Hg: 0.000 0.000 0.000 (multiplicity 1)
Ge: 0.500 0.500 0.500 (multiplicity 1)
P: 0.500 0.500 0.000 (multiplicity 1)
S: 0.000 0.500 0.500 (multiplicity 2)

M_tot in μB/f.u.: 0.534
Energy relative to the elements, uncorrected in eV/atom: 0.61
E above lowest polymorph in eV per atom: 0.0000

[2]
# HgGeP2S

A relaxed structure of HgGeP2S (PBE, the Alexandria database).

Lattice parameters (Å, degrees): 4.824 4.824 4.703 90.00 90.00 90.00
Space group P4/mmm (No. 123)
Unique sites:
Hg: 0.000 0.000 0.000 (multiplicity 1)
Ge: 0.500 0.500 0.500 (multiplicity 1)
P: 0.000 0.500 0.500 (multiplicity 2)
S: 0.500 0.500 0.000 (multiplicity 1)

M_tot in μB/f.u.: 0.801
Energy relative to the elements, uncorrected in eV/atom: 0.80
E above lowest polymorph in eV per atom: 0.0000

[3]
# Hg2GeSbP

A relaxed structure of Hg2GeSbP (PBE, the Alexandria database).

Lattice parameters (Å, degrees): 5.039 5.039 5.673 90.00 90.00 90.00
Space group P4/mmm (No. 123)
Unique sites:
Hg: 0.000 0.500 0.000 (multiplicity 2)
Ge: 0.000 0.000 0.000 (multiplicity 1)
Sb: 0.000 0.000 0.500 (multiplicity 1)
P: 0.500 0.500 0.500 (multiplicity 1)

M_tot in μB/f.u.: 0.020
Energy relative to the elements, uncorrected in eV/atom: 0.74